Density functional theory data (PBE) for PrPPdO after structural relaxation.

Unit cell a=5.8901 b=5.8901 c=4.6011 alpha=90.00 beta=90.00 gamma=90.00
Fractional positions:
1 Pr 0.2500 0.7500 0.0000
2 Pr 0.7500 0.2500 0.0000
3 P 0.2500 0.2500 0.0023
4 P 0.7500 0.7500 0.9977
5 Pd 0.2500 0.2500 0.5021
6 Pd 0.7500 0.7500 0.4979
7 O 0.2500 0.7500 0.5000
8 O 0.7500 0.2500 0.5000

Density functional theory data (PBE) for LaPrAl2 after structural relaxation.

Unit cell a=5.7680 b=7.7308 c=9.4087 alpha=90.00 beta=90.00 gamma=90.00
Fractional positions:
1 La 0.2500 0.1627 0.0000
2 La 0.2500 0.6627 0.5000
3 La 0.7500 0.3373 0.5000
4 La 0.7500 0.8373 0.0000
5 Pr 0.2500 0.1594 0.3577
6 Pr 0.2500 0.6594 0.8577
7 Pr 0.7500 0.3406 0.8577
8 Pr 0.7500 0.8406 0.3577
9 Al 0.0000 0.0000 0.6777
10 Al 0.0000 0.5000 0.1777
11 Al 0.2500 0.3029 0.6780
12 Al 0.2500 0.8029 0.1780
13 Al 0.5000 0.0000 0.6777
14 Al 0.5000 0.5000 0.1777
15 Al 0.7500 0.1971 0.1780
16 Al 0.7500 0.6971 0.6780

Density functional theory data (PBE) for Cu7Ag3 after structural relaxation.

Unit cell a=2.7320 b=3.6319 c=13.8384 alpha=90.00 beta=90.00 gamma=90.00
Fractional positions:
1 Cu 0.0000 0.0000 0.0000
2 Cu 0.0000 0.0000 0.1799
3 Cu 0.0000 0.0000 0.3607
4 Cu 0.0000 0.0000 0.7882
5 Cu 0.5000 0.5000 0.0891
6 Cu 0.5000 0.5000 0.2697
7 Cu 0.5000 0.5000 0.4493
8 Ag 0.0000 0.0000 0.5566
9 Ag 0.5000 0.5000 0.6824
10 Ag 0.5000 0.5000 0.8932

Output
Energy of formation from the pure elements (kJ/mol of atoms): 6.8

no.,ΔE to the lowest computed polymorph (meV per atom)
1,823
2,1
3,26